Run A
KTeMo after structural relaxation. Source: the Alexandria database, functional PBE.

M_tot: 0.413 μB per atom

abc: 7.1200 7.1200 3.5293
angles: 75.65 75.65 28.70
Closest atoms and distances in Å follow each position.
Atoms (fractional coordinates):
Te 0.7076 0.7076 0.2924  4 Mo 2.74
Mo 0.2931 0.2931 0.7069  4 Te 2.74
K 0.9993 0.9993 0.0007  4 K 3.53, 5 Mo 3.71-3.92, 5 Te 3.73-3.89



Run B
KTeMo after structural relaxation. Source: the Alexandria database, functional PBE.

M_tot: 0.314 μB per atom

abc: 3.5165 3.5165 7.6947
angles: 90.00 90.00 120.00
Closest atoms and distances in Å follow each position.
Atoms (fractional coordinates):
K 0.0000 0.0000 0.0019  6 K 3.52, 3 Mo 3.59, 3 Te 3.62
Te 0.3333 0.6667 0.6118  3 Mo 2.67
Mo 0.6667 0.3333 0.3863  3 Te 2.67



Run C
KTeMo after structural relaxation. Source: the Alexandria database, functional PBE.

M_tot: 1.390 μB per atom

abc: 4.8023 4.8023 5.3093
angles: 90.00 90.00 120.00
Closest atoms and distances in Å follow each position.
Atoms (fractional coordinates):
K 0.0000 0.0000 0.0003  6 Mo 3.84, 6 Te 3.84
Mo 0.3333 0.6667 0.4998  3 Te 2.77
Te 0.6667 0.3333 0.5000  3 Mo 2.77



Energy above the most stable structure, in meV/atom: run A 0; run B 124; run C 111



Run A
K2Ti2Mo after structural relaxation. Source: the Alexandria database, functional PBE.

M_tot: 0.000 μB per atom

abc: 6.5226 6.5226 6.6555
angles: 90.00 90.00 90.00
Closest atoms and distances in Å follow each position.
Atoms (fractional coordinates):
Ti 0.8229 0.6771 0.0000  2 Mo 2.40
Ti 0.6771 0.1771 0.0000  2 Mo 2.40
Ti 0.1771 0.3229 0.0000  2 Mo 2.40
Ti 0.3229 0.8229 0.0000  2 Mo 2.40
K 0.3143 0.1857 0.5000  5 K 3.37-3.43, 2 Ti 3.56
K 0.8143 0.3143 0.5000  5 K 3.37-3.43, 2 Ti 3.56
K 0.6857 0.8143 0.5000  5 K 3.37-3.43, 2 Ti 3.56
K 0.1857 0.6857 0.5000  5 K 3.37-3.43, 2 Ti 3.56
Mo 0.5000 0.5000 0.0000  4 Ti 2.40
Mo 0.0000 0.0000 0.0000  4 Ti 2.40



Run B
K2Ti2Mo after structural relaxation. Source: the Alexandria database, functional PBE.

M_tot: 0.000 μB per atom

abc: 3.7088 3.7088 8.8585
angles: 77.92 77.92 90.00
Closest atoms and distances in Å follow each position.
Atoms (fractional coordinates):
Ti 0.5708 0.5708 0.8585  1 Ti 2.40
Ti 0.4292 0.4292 0.1415  1 Ti 2.40
Mo 0.0000 0.0000 0.0000  8 Ti 2.88
K 0.7500 0.2500 0.5000  4 K 2.62
K 0.2500 0.7500 0.5000  4 K 2.62



Energy above the most stable structure, in meV/atom: run A 0; run B 374